Computed, not measured: TbTmAgOs after structural relaxation at the PBE level of DFT.

```
data_TbTmAgOs
_symmetry_space_group_name_H-M 'P 4 m m'
_symmetry_Int_Tables_number 99
_cell_length_a 3.3919
_cell_length_b 3.3919
_cell_length_c 7.5739
_cell_angle_alpha 90.00
_cell_angle_beta 90.00
_cell_angle_gamma 90.00
loop_
_symmetry_equiv_pos_as_xyz
'x,y,z'
'-y,x,z'
'-x,-y,z'
'y,-x,z'
'-x,y,z'
'y,x,z'
'x,-y,z'
'-y,-x,z'
loop_
_atom_site_label
_atom_site_type_symbol
_atom_site_fract_x
_atom_site_fract_y
_atom_site_fract_z
Tb1 Tb 0.0000 0.0000 0.0000
Tm1 Tm 0.0000 0.0000 0.5597
Ag1 Ag 0.5000 0.5000 0.2896
Os1 Os 0.5000 0.5000 0.7748
```

Calculated values
Final energy, eV/atom: -6.13
Energy of formation, eV/atom: -0.338
Energy above the most stable polymorph in this dataset, eV per atom: 0.000
Magnetic moment, Bohr magnetons per cell: 0.0